Material: MnSe3O
Method: DFT, PBE with a Hubbard U
State: optimized geometry

**Final energy**: -3.235 eV per atom
**V**: 100.3 Å³/cell
**Magnetization**: 2.12 μB/f.u.
**Calculated density**: 5095 kg/m³
**SG**: No. 221
**D(E_F)**: 6.43 states/eV/cell
**ΔE to the lowest computed polymorph**: 1056 meV per atom

Unit cell a=4.647 b=4.647 c=4.647 alpha=90.00 beta=90.00 gamma=90.00
Fractional coordinates of all 5 atoms:
Mn: 0.000 0.000 0.000
Se: 0.000 0.000 0.500
Se: 0.000 0.500 0.000
Se: 0.500 0.000 0.000
O: 0.500 0.500 0.500